{"formula": "Pa2Zn6Cu9", "functional": "PBE", "state": "relaxed", "cell": [[5.137, 0.000, 0.000], [-2.568, 4.449, 0.000], [0.000, 0.000, 12.242]], "species": ["Cu", "Cu", "Cu", "Cu", "Cu", "Cu", "Cu", "Cu", "Cu", "Zn", "Zn", "Zn", "Zn", "Zn", "Zn", "Pa", "Pa"], "frac_coords": [[0.000, 0.500, 0.500], [0.000, 0.500, 0.168], [0.500, 0.000, 0.832], [0.500, 0.500, 0.168], [0.500, 0.000, 0.500], [0.500, 0.500, 0.832], [0.500, 0.000, 0.168], [0.500, 0.500, 0.500], [0.000, 0.500, 0.832], [0.333, 0.667, 0.666], [0.667, 0.333, 0.666], [0.333, 0.667, 0.000], [0.667, 0.333, 0.000], [0.333, 0.667, 0.334], [0.667, 0.333, 0.334], [0.000, 0.000, 0.333], [0.000, 0.000, 0.667]]}

***

{"formula": "Pa2Zn15Cu2", "functional": "PBE", "state": "relaxed", "cell": [[6.747, 0.003, 0.003], [0.879, 6.690, 0.003], [0.879, 0.771, 6.645]], "species": ["Zn", "Zn", "Zn", "Zn", "Zn", "Zn", "Zn", "Zn", "Zn", "Zn", "Zn", "Zn", "Zn", "Zn", "Zn", "Pa", "Pa", "Cu", "Cu"], "frac_coords": [[0.711, 0.000, 0.289], [0.647, 0.647, 0.155], [0.500, 0.000, 0.000], [0.000, 0.289, 0.711], [0.000, 0.500, 0.000], [0.845, 0.353, 0.353], [0.000, 0.711, 0.289], [0.711, 0.289, 0.000], [0.155, 0.647, 0.647], [0.000, 0.000, 0.500], [0.353, 0.845, 0.353], [0.289, 0.000, 0.711], [0.647, 0.155, 0.647], [0.289, 0.711, 0.000], [0.353, 0.353, 0.845], [0.339, 0.339, 0.339], [0.661, 0.661, 0.661], [0.105, 0.105, 0.105], [0.895, 0.895, 0.895]]}

***

{"formula": "PaZn11Cu", "functional": "PBE", "state": "relaxed", "cell": [[4.775, 0.011, 1.990], [2.349, 6.270, 0.978], [-0.022, 0.006, 6.778]], "species": ["Zn", "Zn", "Zn", "Zn", "Zn", "Zn", "Zn", "Zn", "Zn", "Zn", "Zn", "Pa", "Cu"], "frac_coords": [[0.501, 0.219, 0.785], [0.499, 0.781, 0.215], [0.000, 0.500, 0.000], [0.286, 0.219, 0.215], [0.638, 0.356, 0.349], [0.000, 0.000, 0.500], [0.013, 0.644, 0.349], [0.500, 0.000, 0.500], [0.714, 0.781, 0.785], [0.987, 0.356, 0.651], [0.362, 0.644, 0.651], [0.000, 0.000, 0.000], [0.500, 0.500, 0.000]]}

***

{"formula": "ZrPaZn2Cu2", "functional": "PBE", "state": "relaxed", "cell": [[4.517, 0.000, 0.000], [-2.259, 3.912, 0.000], [0.000, 0.000, 5.838]], "species": ["Zn", "Zn", "Cu", "Cu", "Pa", "Zr"], "frac_coords": [[0.333, 0.667, 0.731], [0.667, 0.333, 0.269], [0.667, 0.333, 0.743], [0.333, 0.667, 0.257], [0.000, 0.000, 0.000], [0.000, 0.000, 0.500]]}

***

{"formula": "Zr2PaCu", "functional": "PBE", "state": "relaxed", "cell": [[4.918, 0.000, 0.000], [2.459, 4.260, 0.000], [2.459, 1.420, 4.017]], "species": ["Pa", "Zr", "Zr", "Cu"], "frac_coords": [[0.500, 0.500, 0.500], [0.250, 0.250, 0.250], [0.000, 0.000, 0.000], [0.750, 0.750, 0.750]]}

***

{"formula": "ZrPaCu2", "functional": "PBE", "state": "relaxed", "cell": [[-0.352, -1.397, -2.670], [1.084, -2.567, 1.200], [-7.366, -2.136, 2.088]], "species": ["Cu", "Cu", "Zr", "Pa"], "frac_coords": [[0.000, 0.000, 0.761], [0.000, 0.000, 0.239], [0.500, 0.500, 0.000], [0.500, 0.500, 0.500]]}

***

What are the M_tot values for these records? In order: 0.51, 0.80, 0.50, 0.00, 0.00, 0.00 μB per cell.
What are the DOS at the Fermi energy values for these records? In order: 12.040, 12.544, 6.453, 6.525, 2.072, 6.209 states/eV/f.u..
What are the uncorrected energy values for these records? In order: -3.6641, -2.5425, -2.2187, -4.9513, -7.5571, -6.5489 eV per atom.